Entry 1:
# IrOs2Se

IrOs2Se after structural relaxation (PBE, Alexandria).

```
IrOs2Se
1.0
-0.536 5.175 1.953
-4.335 -1.612 3.081
0.985 0.560 6.692
Os Se Ir
4 2 2
Direct
0.875 0.873 0.750 Os
0.375 0.377 0.750 Os
0.623 0.125 0.250 Os
0.127 0.625 0.250 Os
0.250 0.750 0.500 Se
0.500 0.500 0.000 Se
0.000 0.000 0.000 Ir
0.750 0.250 0.500 Ir
```

## Properties
E_form (uncorrected): 3.9 eV/f.u.
Final energy: -7.720 eV/atom


Entry 2:
# IrOs2Se

IrOs2Se after structural relaxation (PBE, Alexandria).

```
IrOs2Se
1.0
-0.251 1.616 -2.346
-2.526 0.964 0.934
3.366 5.499 3.428
Se Ir Os
1 1 2
Direct
0.500 0.500 0.250 Se
0.500 0.500 0.750 Ir
0.000 0.000 0.002 Os
0.000 0.000 0.498 Os
```

## Properties
E_form (uncorrected): 2.4 eV/f.u.
Final energy: -8.092 eV/atom